1.
{"formula": "Co2Ir6Os", "functional": "PBE", "state": "relaxed", "lattice": [[2.625, 1.515, 6.132], [-2.625, 1.515, 6.132], [0.000, -3.031, 6.132]], "species": ["Co", "Co", "Ir", "Ir", "Ir", "Ir", "Ir", "Ir", "Os"], "fractional_positions": [[0.000, 0.000, 0.000], [0.129, 0.129, 0.129], [0.188, 0.673, 0.673], [0.458, 0.458, 0.975], [0.458, 0.975, 0.458], [0.673, 0.188, 0.673], [0.673, 0.673, 0.188], [0.975, 0.458, 0.458], [0.740, 0.740, 0.740]], "e_tot_ev_per_atom": -8.157, "e_above_lowest_polymorph_mev_per_atom": 326.0, "magnetic_moment_mub_per_fu": 4.86, "delta_e_f_ev_per_atom": 0.58}

---

2.
{"formula": "TaAgAsSe2", "functional": "PBE", "state": "relaxed", "lattice": [[5.016, 0.000, 0.000], [0.000, 5.016, 0.000], [0.000, 0.000, 5.072]], "species": ["Ta", "Ag", "As", "Se", "Se"], "fractional_positions": [[0.000, 0.000, 0.000], [0.500, 0.500, 0.500], [0.000, 0.000, 0.500], [0.000, 0.500, 0.000], [0.500, 0.000, 0.000]], "e_tot_ev_per_atom": -5.114, "e_above_lowest_polymorph_mev_per_atom": 0.0, "raw_formation_energy_ev_per_atom": 0.15, "magnetic_moment_mub_per_fu": 0.00}

---

3.
{"formula": "Lu2ScBe", "functional": "PBE", "state": "relaxed", "lattice": [[3.343, 0.000, 0.000], [0.000, 3.343, 0.000], [0.000, 0.000, 8.163]], "species": ["Lu", "Lu", "Sc", "Be"], "fractional_positions": [[0.000, 0.000, 0.200], [0.000, 0.000, 0.800], [0.500, 0.500, 0.500], [0.500, 0.500, 0.000]], "e_tot_ev_per_atom": -4.728, "e_above_lowest_polymorph_mev_per_atom": 0.0, "magnetic_moment_mub_per_fu": 0.00, "delta_e_f_ev_per_atom": 0.05}